Rb2PuCl2O2 | Alexandria | GGA-PBE | optimized geometry; raw formation energy = -2.258 eV/atom
1.0
4.4099 0.0000 0.0000
0.0000 4.4099 0.0000
-2.2049 -2.2049 8.6800
Rb Pu Cl O
2 1 2 2
direct
0.3660 0.3660 0.7320
0.6340 0.6340 0.2680
0.0000 0.0000 0.0000
0.1637 0.1637 0.3274
0.8363 0.8363 0.6726
0.0000 0.5000 0.0000
0.5000 0.0000 0.0000


Tb12Zn5Cu3 | Alexandria | GGA-PBE | optimized geometry; ΔH_f (0 K) = 278.9 meV/atom
1.0
14.5628 0.0000 0.0000
-4.8543 13.7300 0.0000
-4.8543 -6.8650 11.8905
Cu Zn Tb
12 20 48
direct
0.7500 0.3750 0.1250
0.8750 0.7500 0.1250
0.3750 0.7500 0.6250
0.2500 0.1250 0.3750
0.8750 0.1250 0.2500
0.3750 0.6250 0.2500
0.6250 0.3750 0.7500
0.1250 0.8750 0.7500
0.7500 0.8750 0.6250
0.6250 0.2500 0.3750
0.1250 0.2500 0.8750
0.2500 0.6250 0.8750
0.1250 0.3750 0.2500
0.0000 0.5000 0.0000
0.0000 0.0000 0.0000
0.3750 0.2500 0.1250
0.5000 0.0000 0.5000
0.5000 0.5000 0.0000
0.1250 0.7500 0.3750
0.7500 0.1250 0.8750
0.7500 0.6250 0.3750
0.3750 0.1250 0.7500
0.6250 0.8750 0.2500
0.5000 0.5000 0.5000
0.5000 0.0000 0.0000
0.0000 0.0000 0.5000
0.2500 0.3750 0.6250
0.2500 0.8750 0.1250
0.0000 0.5000 0.5000
0.8750 0.2500 0.6250
0.6250 0.7500 0.8750
0.8750 0.6250 0.7500
0.7265 0.1313 0.0593
0.3329 0.5593 0.4280
0.9407 0.3687 0.2735
0.5593 0.2265 0.1313
0.5952 0.7265 0.6671
0.9407 0.5720 0.1671
0.3329 0.7735 0.4048
0.0720 0.9048 0.1313
0.5720 0.9407 0.6671
0.7265 0.5952 0.1671
0.7735 0.4407 0.3687
0.8329 0.9280 0.0593
0.1313 0.7265 0.5593
0.3687 0.4280 0.0952
0.0952 0.9280 0.3687
0.4048 0.1313 0.5720
0.0952 0.1671 0.2265
0.4407 0.6671 0.0720
0.8329 0.9048 0.2735
0.1313 0.4048 0.0720
0.3687 0.9407 0.7735
0.5720 0.6313 0.4048
0.9280 0.8329 0.5593
0.7735 0.3329 0.9048
0.4280 0.3687 0.5952
0.0720 0.1671 0.4407
0.2265 0.6671 0.0952
0.1671 0.0952 0.7265
0.6313 0.0593 0.2265
0.8687 0.5952 0.9280
0.5593 0.3329 0.9280
0.5952 0.8687 0.4280
0.9048 0.8329 0.7735
0.9048 0.0720 0.6313
0.8687 0.2735 0.4407
0.1671 0.0720 0.9407
0.6313 0.5720 0.9048
0.4280 0.0593 0.3329
0.2735 0.4048 0.8329
0.2265 0.5593 0.6313
0.9280 0.0952 0.8687
0.6671 0.2265 0.5952
0.4407 0.7735 0.8687
0.0593 0.4280 0.8329
0.4048 0.2735 0.3329
0.0593 0.6313 0.7265
0.6671 0.4407 0.5720
0.2735 0.8687 0.9407


AlTcTeN2 | Alexandria | GGA-PBE | optimized geometry; raw formation energy = 0.569 eV/atom; relative energy among the computed polymorphs = 0.0 meV per atom
1.0
-2.1700 -2.4150 -2.1617
-0.1969 -2.4984 2.9889
-4.7167 2.5834 1.8487
N Te Tc Al
2 1 1 1
direct
0.0000 0.5000 0.0000
0.5000 0.0000 0.0000
0.0000 0.0000 0.5000
0.0000 0.0000 0.0000
0.5000 0.5000 0.5000


no.,final energy (eV per atom),magnetic moment (μB/f.u.),theoretical density (g/cm3)
1,-6.526,4.0,5.1
2,-3.432,0.0,6.8
3,-6.211,0.2,5.4